The following is a DFT calculation (PBE-GGA) of a geometry-optimized Pr12Nd3In structure.

Calculated values
Magnetic moment   0.00 μB per cell
Calculated formation energy   -0.050 eV per atom

Geometry as CIF:
```
data_Pr12Nd3In
_symmetry_space_group_name_H-M 'P 4/m m m'
_symmetry_Int_Tables_number 123
_symmetry_space_group_name_Hall '-P 4 2'
_cell_length_a 5.1562
_cell_length_b 5.1562
_cell_length_c 21.0162
_cell_angle_alpha 90.00
_cell_angle_beta 90.00
_cell_angle_gamma 90.00
loop_
_atom_site_label
_atom_site_type_symbol
_atom_site_fract_x
_atom_site_fract_y
_atom_site_fract_z
Pr1 Pr 0.0000 0.0000 0.0000
Pr2 Pr 0.0000 0.0000 0.2456
Pr3 Pr 0.0000 0.0000 0.5000
Pr4 Pr 0.0000 0.5000 0.1194
Pr5 Pr 0.0000 0.5000 0.3731
Nd1 Nd 0.5000 0.5000 0.2470
Nd2 Nd 0.5000 0.5000 0.5000
In1 In 0.5000 0.5000 0.0000
```

---

The following is a DFT calculation (PBE-GGA) of a geometry-optimized PrNd7In4 structure.

Calculated values
Magnetic moment   0.19 μB per cell
Calculated formation energy   -0.147 eV per atom

Geometry as CIF:
```
data_PrNd7In4
_symmetry_space_group_name_H-M 'C 1 2/m 1'
_symmetry_Int_Tables_number 12
_cell_length_a 14.7520
_cell_length_b 5.8703
_cell_length_c 10.8395
_cell_angle_alpha 90.00
_cell_angle_beta 123.55
_cell_angle_gamma 90.00
loop_
_symmetry_equiv_pos_as_xyz
'x,y,z'
'-x,-y,-z'
'-x,y,-z'
'x,-y,z'
'x+1/2,y+1/2,z'
'-x+1/2,-y+1/2,-z'
'-x+1/2,y+1/2,-z'
'x+1/2,-y+1/2,z'
loop_
_atom_site_label
_atom_site_type_symbol
_atom_site_fract_x
_atom_site_fract_y
_atom_site_fract_z
Pr1 Pr 0.0000 0.0000 0.0000
Nd1 Nd 0.0000 0.5000 0.0000
Nd2 Nd 0.0626 0.0000 0.3930
Nd3 Nd 0.2051 0.0000 0.8789
Nd4 Nd 0.2170 0.5000 0.6544
In1 In 0.0572 0.5000 0.7547
In2 In 0.1821 0.5000 0.3323
```

---

The following is a DFT calculation (PBE-GGA) of a geometry-optimized Pr4Nd3In2 structure.

Calculated values
Offset from the most stable computed form   3.3 kJ/mol of atoms
Magnetic moment   0.00 μB per cell
Calculated formation energy   -0.185 eV per atom

Geometry as CIF:
```
data_Pr4Nd3In2
_symmetry_space_group_name_H-M 'C 1 2/m 1'
_symmetry_Int_Tables_number 12
_cell_length_a 12.8358
_cell_length_b 5.5125
_cell_length_c 8.7861
_cell_angle_alpha 90.00
_cell_angle_beta 104.76
_cell_angle_gamma 90.00
loop_
_symmetry_equiv_pos_as_xyz
'x,y,z'
'-x,-y,-z'
'-x,y,-z'
'x,-y,z'
'x+1/2,y+1/2,z'
'-x+1/2,-y+1/2,-z'
'-x+1/2,y+1/2,-z'
'x+1/2,-y+1/2,z'
loop_
_atom_site_label
_atom_site_type_symbol
_atom_site_fract_x
_atom_site_fract_y
_atom_site_fract_z
Pr1 Pr 0.1206 0.0000 0.1555
Pr2 Pr 0.1688 0.5000 0.4623
Nd1 Nd 0.0000 0.0000 0.5000
Nd2 Nd 0.0791 0.5000 0.8516
In1 In 0.2091 0.0000 0.8177
```

---

The following is a DFT calculation (PBE-GGA) of a geometry-optimized Pr2Nd3In3 structure.

Calculated values
Offset from the most stable computed form   0.0 kJ/mol of atoms
Magnetic moment   0.00 μB per cell
Calculated formation energy   -0.361 eV per atom

Geometry as CIF:
```
data_Pr2Nd3In3
_symmetry_space_group_name_H-M 'I m m m'
_symmetry_Int_Tables_number 71
_symmetry_space_group_name_Hall '-I 2 2'
_cell_length_a 4.5487
_cell_length_b 5.0766
_cell_length_c 21.1729
_cell_angle_alpha 90.00
_cell_angle_beta 90.00
_cell_angle_gamma 90.00
loop_
_atom_site_label
_atom_site_type_symbol
_atom_site_fract_x
_atom_site_fract_y
_atom_site_fract_z
Pr1 Pr 0.0000 0.0000 0.2361
Nd1 Nd 0.0000 0.0000 0.0000
Nd2 Nd 0.0000 0.5000 0.1185
In1 In 0.0000 0.0000 0.5000
In2 In 0.0000 0.5000 0.3769
```

---

> Which formula does entry 1 have?

Pr12Nd3In

---

> Look up the magnetic moment of the first one.

0.00 μB per cell

---

> Number 3 is which compound?

Pr4Nd3In2